The following is a PBE calculation of Ac12Sn5H2 after structural relaxation, from Alexandria.

Geometry as extended XYZ:
```
19
Lattice="-2.696 -3.755 6.924 9.523 -1.735 -2.239 -0.218 9.238 4.925" Properties=species:S:1:pos:R:3 pbc="T T T"
Sn 1.640 -0.060 5.611
Sn 4.705 -0.746 1.427
Sn -0.109 4.619 2.463
Sn 4.969 3.807 4.000
Sn 1.904 4.494 8.184
Ac 1.754 3.355 4.985
Ac 4.855 0.393 4.626
Ac 5.088 5.236 7.151
Ac -1.408 4.627 6.966
Ac 0.395 1.462 8.475
Ac 0.184 1.734 1.012
Ac 1.521 -1.488 2.460
Ac 6.343 6.984 3.927
Ac 6.425 2.014 8.599
Ac 8.017 -0.879 2.644
Ac 6.214 2.286 1.136
Ac 0.266 -3.236 5.684
H -2.238 -3.118 5.749
H -0.457 -0.637 1.175
```

Output
**VASP energy**: -4.33 eV/atom
**Total magnetization**: 0.00 μB per formula unit